No. 1
The following is a DFT calculation (PBE) of a geometry-optimized ScBi2Pd8 structure.

DFT formation energy in eV per atom: -0.44
Excess energy over the best structure of this formula in the dataset in meV/atom: 4

Lattice parameters (Å, degrees): 4.1206 6.5972 7.8616 108.19 105.19 90.00
Positions (direct):
Sc1 0.5000 0.0000 0.0000
Bi1 0.7929 0.3399 0.5859
Bi2 0.2071 0.6601 0.4141
Pd1 0.4166 0.5520 0.8333
Pd2 0.6739 0.9219 0.3479
Pd3 0.8652 0.8140 0.7304
Pd4 0.9622 0.2633 0.9244
Pd5 0.1348 0.1860 0.2696
Pd6 0.3261 0.0781 0.6521
Pd7 0.5834 0.4480 0.1667
Pd8 0.0378 0.7367 0.0756

No. 2
The following is a DFT calculation (PBE) of a geometry-optimized Sc4BiPd structure.

DFT formation energy in eV per atom: -0.36

Lattice parameters (Å, degrees): 5.4362 7.3999 7.9423 104.45 110.03 90.01
Positions (direct):
Sc1 0.5670 0.0589 0.8520
Sc2 0.7153 0.4411 0.1477
Sc3 0.4330 0.9411 0.1480
Sc4 0.2847 0.5589 0.8523
Sc5 0.9703 0.8610 0.6405
Sc6 0.3300 0.6387 0.3590
Sc7 0.0297 0.1390 0.3595
Sc8 0.6700 0.3613 0.6410
Bi1 0.8633 0.7501 0.0000
Bi2 0.1367 0.2499 0.0000
Pd1 0.5000 0.0000 0.5000
Pd2 0.0000 0.5000 0.5000

No. 3
The following is a DFT calculation (PBE) of a geometry-optimized Sc2BiPd2 structure.

DFT formation energy in eV per atom: -0.56
Excess energy over the best structure of this formula in the dataset in meV/atom: 233

Lattice parameters (Å, degrees): 3.9083 3.9083 7.6682 75.24 75.24 90.00
Positions (direct):
Sc1 0.3828 0.3828 0.2343
Sc2 0.6172 0.6172 0.7657
Bi1 0.0000 0.0000 0.0000
Pd1 0.7500 0.2500 0.5000
Pd2 0.2500 0.7500 0.5000

No. 4
The following is a DFT calculation (PBE) of a geometry-optimized ScBi2Pd2 structure.

DFT formation energy in eV per atom: -0.42
Excess energy over the best structure of this formula in the dataset in meV/atom: 0

Lattice parameters (Å, degrees): 7.2915 7.2915 4.1769 90.00 90.00 90.00
Positions (direct):
Sc1 0.0000 0.0000 0.0000
Sc2 0.5000 0.5000 0.0000
Bi1 0.1758 0.6758 0.5000
Bi2 0.6758 0.8242 0.5000
Bi3 0.8242 0.3242 0.5000
Bi4 0.3242 0.1758 0.5000
Pd1 0.3676 0.8676 0.0000
Pd2 0.8676 0.6324 0.0000
Pd3 0.6324 0.1324 0.0000
Pd4 0.1324 0.3676 0.0000

No. 5
The following is a DFT calculation (PBE) of a geometry-optimized ScBi2Pd2 structure.

DFT formation energy in eV per atom: -0.29
Excess energy over the best structure of this formula in the dataset in meV/atom: 136

Lattice parameters (Å, degrees): 8.0641 8.0641 3.4395 90.00 90.00 90.00
Positions (direct):
Sc1 0.0000 0.0000 0.0000
Sc2 0.5000 0.5000 0.0000
Bi1 0.3438 0.8438 0.0000
Bi2 0.8438 0.6562 0.0000
Bi3 0.6562 0.1562 0.0000
Bi4 0.1562 0.3438 0.0000
Pd1 0.1422 0.6422 0.5000
Pd2 0.6422 0.8578 0.5000
Pd3 0.8578 0.3578 0.5000
Pd4 0.3578 0.1422 0.5000

No. 6
The following is a DFT calculation (PBE) of a geometry-optimized ScBi2Pd9 structure.

DFT formation energy in eV per atom: -0.45

Lattice parameters (Å, degrees): 4.0933 4.0933 12.2922 90.00 90.00 90.00
Positions (direct):
Sc1 0.0000 0.0000 0.0000
Bi1 0.0000 0.0000 0.3268
Bi2 0.0000 0.0000 0.6732
Pd1 0.5000 0.5000 0.0000
Pd2 0.5000 0.5000 0.3328
Pd3 0.5000 0.5000 0.6672
Pd4 0.5000 0.0000 0.1585
Pd5 0.5000 0.0000 0.5000
Pd6 0.5000 0.0000 0.8415
Pd7 0.0000 0.5000 0.1585
Pd8 0.0000 0.5000 0.5000
Pd9 0.0000 0.5000 0.8415

No. 7
The following is a DFT calculation (PBE) of a geometry-optimized Bi4Pd15Se structure.

Energy relative to the elements, uncorrected in eV/atom: -0.178

Lattice parameters (Å, degrees): 4.1271 4.1271 20.4936 90.00 90.00 90.00
Positions (direct):
Bi1 0.0000 0.0000 0.1925
Bi2 0.0000 0.0000 0.3980
Bi3 0.0000 0.0000 0.6020
Bi4 0.0000 0.0000 0.8075
Pd1 0.5000 0.5000 0.0000
Pd2 0.5000 0.5000 0.1995
Pd3 0.5000 0.5000 0.4001
Pd4 0.5000 0.5000 0.5999
Pd5 0.5000 0.5000 0.8005
Pd6 0.5000 0.0000 0.0975
Pd7 0.5000 0.0000 0.2981
Pd8 0.5000 0.0000 0.5000
Pd9 0.5000 0.0000 0.7019
Pd10 0.5000 0.0000 0.9025
Pd11 0.0000 0.5000 0.0975
Pd12 0.0000 0.5000 0.2981
Pd13 0.0000 0.5000 0.5000
Pd14 0.0000 0.5000 0.7019
Pd15 0.0000 0.5000 0.9025
Se1 0.0000 0.0000 0.0000

No. 8
The following is a DFT calculation (PBE) of a geometry-optimized Bi2Pd6Se structure.

Energy relative to the elements, uncorrected in eV/atom: -0.162

Lattice parameters (Å, degrees): 3.3363 7.6825 7.9614 118.85 102.03 90.00
Positions (direct):
Bi1 0.6613 0.6621 0.3241
Bi2 0.3387 0.3379 0.6759
Pd1 0.1648 0.3605 0.3303
Pd2 0.8352 0.0301 0.6697
Pd3 0.8352 0.6395 0.6697
Pd4 0.5000 0.2715 0.0000
Pd5 0.1648 0.9699 0.3303
Pd6 0.5000 0.7285 0.0000
Se1 0.0000 0.0000 0.0000

DOS(E_F), record by record: 0.5802; 1.2487; 0.6866; 0.4837; 0.5597; 0.3093; 0.8093; 0.4664 states/eV/atom